1.
Computed, not measured: a crystal of SnGe3Bi relaxed with PBEsol at the SCAN level of DFT.

a = 5.1959 Å, b = 5.1959 Å, c = 5.1959 Å
α = 90.00°, β = 90.00°, γ = 90.00°
Positions (direct):
Ge  0.0000  0.0000  0.5000
Ge  0.5000  0.0000  0.0000
Ge  0.0000  0.5000  0.0000
Bi  0.5000  0.5000  0.5000
Sn  0.0000  0.0000  0.0000

## Properties
The total DFT energy (no corrections) is -33.47 eV/atom. Its size of the total moment is 0.0 μB/f.u. As for the space group: No. 221. As for the formation energy: 0.88 eV per atom.

***

2.
Computed, not measured: a crystal of SnGe2Bi2 relaxed with PBEsol at the SCAN level of DFT.

a = 5.5567 Å, b = 5.8413 Å, c = 5.5567 Å
α = 118.40°, β = 90.00°, γ = 118.40°
Positions (direct):
Ge  0.3559  0.7117  0.3559
Ge  0.6441  0.2883  0.6441
Bi  0.2500  0.5000  0.7500
Bi  0.7500  0.5000  0.2500
Sn  0.0000  0.0000  0.0000

## Properties
The total DFT energy (no corrections) is -45.94 eV/atom. Its size of the total moment is 0.0 μB/f.u. As for the space group: No. 139. As for the formation energy: 0.31 eV per atom.

***

3.
Computed, not measured: a crystal of Sr2Ge2Bi relaxed with PBEsol at the SCAN level of DFT.

a = 4.5989 Å, b = 7.7954 Å, c = 7.7954 Å
α = 90.00°, β = 90.00°, γ = 90.00°
Positions (direct):
Bi  0.0000  0.0000  0.0000
Bi  0.0000  0.5000  0.5000
Ge  0.0000  0.8862  0.6138
Ge  0.0000  0.6138  0.1138
Ge  0.0000  0.1138  0.3862
Ge  0.0000  0.3862  0.8862
Sr  0.5000  0.6793  0.8207
Sr  0.5000  0.1793  0.6793
Sr  0.5000  0.3207  0.1793
Sr  0.5000  0.8207  0.3207

## Properties
The total DFT energy (no corrections) is -32.92 eV/atom. Its size of the total moment is 0.0 μB/f.u. As for the space group: No. 127. As for the formation energy: -0.66 eV per atom.

***

4.
Computed, not measured: a crystal of SrGeBi3 relaxed with PBEsol at the SCAN level of DFT.

a = 5.9028 Å, b = 5.9028 Å, c = 5.9028 Å
α = 90.00°, β = 90.00°, γ = 90.00°
Positions (direct):
Bi  0.0000  0.5000  0.0000
Bi  0.0000  0.0000  0.5000
Bi  0.5000  0.0000  0.0000
Ge  0.5000  0.5000  0.5000
Sr  0.0000  0.0000  0.0000

## Properties
The total DFT energy (no corrections) is -54.33 eV/atom. Its size of the total moment is 0.0 μB/f.u. As for the space group: No. 221. As for the formation energy: 1.09 eV per atom.

***

5.
Computed, not measured: a crystal of TcGe3Bi relaxed with PBEsol at the SCAN level of DFT.

a = 4.8189 Å, b = 4.8189 Å, c = 4.8189 Å
α = 90.00°, β = 90.00°, γ = 90.00°
Site moments in Bohr magnetons follow the coordinates.
Positions (direct):
Ge  0.0000  0.0000  0.5000  -0.01
Ge  0.0000  0.5000  0.0000  -0.01
Ge  0.5000  0.0000  0.0000  -0.01
Bi  0.5000  0.5000  0.5000  0.18
Tc  0.0000  0.0000  0.0000  0.57

## Properties
For the distance to the lowest polymorph of the same formula, the calculation gives 0.000 eV per atom. The total DFT energy (no corrections) is -33.77 eV/atom. Its size of the total moment is 0.9 μB/f.u. As for the space group: No. 221. As for the formation energy: 0.41 eV per atom.

***

6.
Computed, not measured: a crystal of GeBi2Te4 relaxed with PBEsol at the SCAN level of DFT.

a = 4.3160 Å, b = 4.3160 Å, c = 13.7830 Å
α = 81.00°, β = 81.00°, γ = 60.01°
Positions (direct):
Bi  0.5758  0.5758  0.2727
Bi  0.4242  0.4242  0.7273
Te  0.8658  0.8658  0.4027
Te  0.7066  0.7066  0.8801
Te  0.2934  0.2934  0.1199
Te  0.1342  0.1342  0.5973
Ge  0.0000  0.0000  0.0000

## Properties
The total DFT energy (no corrections) is -46.59 eV/atom. Its size of the total moment is 0.0 μB/f.u. As for the space group: No. 166. The raw formation energy comes out at -126 meV per atom.

***

7.
Computed, not measured: a crystal of ZnGeBiTe2 relaxed with PBEsol at the SCAN level of DFT.

a = 5.0852 Å, b = 5.8659 Å, c = 5.8659 Å
α = 90.00°, β = 90.00°, γ = 90.00°
Positions (direct):
Ge  0.5000  0.5000  0.5000
Zn  0.5000  0.0000  0.0000
Te  0.0000  0.5000  0.0000
Te  0.0000  0.0000  0.5000
Bi  0.0000  0.0000  0.0000

## Properties
The total DFT energy (no corrections) is -36.38 eV/atom. Its size of the total moment is 0.0 μB/f.u. As for the space group: No. 123. The raw formation energy comes out at 760 meV per atom.

***

8.
Computed, not measured: a crystal of Ti2GeBi relaxed with PBEsol at the SCAN level of DFT.

a = 4.6998 Å, b = 4.6998 Å, c = 4.6998 Å
α = 60.00°, β = 60.00°, γ = 60.00°
Positions (direct):
Ti  0.7500  0.7500  0.7500
Ti  0.2500  0.2500  0.2500
Ge  0.0000  0.0000  0.0000
Bi  0.5000  0.5000  0.5000

## Properties
The total DFT energy (no corrections) is -32.50 eV/atom. Its size of the total moment is 0.0 μB/f.u. As for the space group: No. 225. As for the formation energy: -0.06 eV per atom.

***

9.
Computed, not measured: a crystal of TiGeBi2 relaxed with PBEsol at the SCAN level of DFT.

a = 6.3857 Å, b = 6.3857 Å, c = 7.8987 Å
α = 113.84°, β = 113.84°, γ = 90.00°
Positions (direct):
Bi  0.6250  0.6114  0.7500
Bi  0.1250  0.1386  0.7500
Bi  0.3886  0.8750  0.2500
Bi  0.8614  0.3750  0.2500
Ti  0.5000  0.5000  0.0000
Ti  0.7500  0.2500  0.5000
Ge  0.2500  0.7500  0.5000
Ge  0.0000  0.0000  0.0000

## Properties
The total DFT energy (no corrections) is -47.67 eV/atom. Its size of the total moment is 0.0 μB/f.u. As for the space group: No. 122. As for the formation energy: 0.40 eV per atom.

***

10.
Computed, not measured: a crystal of GeBiW3 relaxed with PBEsol at the SCAN level of DFT.

a = 4.9846 Å, b = 4.9846 Å, c = 4.9846 Å
α = 90.00°, β = 90.00°, γ = 90.00°
Positions (direct):
W  0.0000  0.5000  0.0000
W  0.5000  0.0000  0.0000
W  0.0000  0.0000  0.5000
Bi  0.0000  0.0000  0.0000
Ge  0.5000  0.5000  0.5000

## Properties
The total DFT energy (no corrections) is -57.87 eV/atom. Its size of the total moment is 0.0 μB/f.u. As for the space group: No. 221. As for the formation energy: 3.47 eV per atom.

***

11.
Computed, not measured: a crystal of ZrGeBi2W relaxed with PBEsol at the SCAN level of DFT.

a = 4.6148 Å, b = 5.3170 Å, c = 5.3170 Å
α = 90.00°, β = 90.00°, γ = 90.00°
Site moments in Bohr magnetons follow the coordinates.
Positions (direct):
Zr  0.5000  0.5000  0.5000  -0.20
Bi  0.0000  0.0000  0.5000  0.00
Bi  0.0000  0.5000  0.0000  0.00
W  0.5000  0.0000  0.0000  0.93
Ge  0.0000  0.0000  0.0000  -0.01

## Properties
The total DFT energy (no corrections) is -54.08 eV/atom. Its size of the total moment is 0.9 μB/f.u. As for the space group: No. 123. As for the formation energy: 1.25 eV per atom.

***

12.
Computed, not measured: a crystal of YGeBi3 relaxed with PBEsol at the SCAN level of DFT.

a = 5.4172 Å, b = 5.4172 Å, c = 5.4172 Å
α = 90.00°, β = 90.00°, γ = 90.00°
Positions (direct):
Bi  0.0000  0.0000  0.5000
Bi  0.0000  0.5000  0.0000
Bi  0.5000  0.0000  0.0000
Ge  0.0000  0.0000  0.0000
Y  0.5000  0.5000  0.5000

## Properties
The total DFT energy (no corrections) is -56.23 eV/atom. Its size of the total moment is 0.0 μB/f.u. As for the space group: No. 221. As for the formation energy: 0.30 eV per atom.

***

13.
Computed, not measured: a crystal of Zr3GeBi relaxed with PBEsol at the SCAN level of DFT.

a = 5.3080 Å, b = 5.3080 Å, c = 5.3080 Å
α = 90.00°, β = 90.00°, γ = 90.00°
Positions (direct):
Ge  0.5000  0.5000  0.5000
Zr  0.0000  0.0000  0.5000
Zr  0.0000  0.5000  0.0000
Zr  0.5000  0.0000  0.0000
Bi  0.0000  0.0000  0.0000

## Properties
The total DFT energy (no corrections) is -36.86 eV/atom. Its size of the total moment is 0.0 μB/f.u. As for the space group: No. 221. As for the formation energy: 1.09 eV per atom.

***

14.
Computed, not measured: a crystal of Zr2Ge2Bi relaxed with PBEsol at the SCAN level of DFT.

a = 3.7398 Å, b = 3.7398 Å, c = 7.8853 Å
α = 103.72°, β = 103.72°, γ = 90.00°
Site moments in Bohr magnetons follow the coordinates.
Positions (direct):
Zr  0.3916  0.3916  0.7831  -0.08
Zr  0.6084  0.6084  0.2169  -0.08
Bi  0.0000  0.0000  0.0000  0.00
Ge  0.7500  0.2500  0.5000  0.00
Ge  0.2500  0.7500  0.5000  0.00

## Properties
The total DFT energy (no corrections) is -36.16 eV/atom. Its size of the total moment is 0.3 μB/f.u. As for the space group: No. 139. As for the formation energy: -0.53 eV per atom.

***

15.
Computed, not measured: a crystal of BiH relaxed with PBEsol at the SCAN level of DFT.

a = 4.2375 Å, b = 4.2375 Å, c = 7.3157 Å
α = 88.68°, β = 88.68°, γ = 60.03°
Positions (direct):
Bi  0.1635  0.1635  0.1188
Bi  0.8365  0.8365  0.8812
H  0.5057  0.5057  0.4478
H  0.4943  0.4943  0.5522

## Properties
The total DFT energy (no corrections) is -40.89 eV/atom. Its size of the total moment is 0.0 μB/f.u. As for the space group: No. 12.

***

16.
Computed, not measured: a crystal of Hf3BiH relaxed with PBEsol at the SCAN level of DFT.

a = 4.4292 Å, b = 4.4292 Å, c = 4.4292 Å
α = 90.00°, β = 90.00°, γ = 90.00°
Positions (direct):
Hf  0.0000  0.5000  0.0000
Hf  0.5000  0.0000  0.0000
Hf  0.0000  0.0000  0.5000
Bi  0.5000  0.5000  0.5000
H  0.0000  0.0000  0.0000

## Properties
The total DFT energy (no corrections) is -54.22 eV/atom. Its size of the total moment is 0.0 μB/f.u. As for the space group: No. 221.

***

17.
Computed, not measured: a crystal of HfBi3H relaxed with PBEsol at the SCAN level of DFT.

a = 4.8174 Å, b = 4.8174 Å, c = 4.8174 Å
α = 90.00°, β = 90.00°, γ = 90.00°
Positions (direct):
Bi  0.5000  0.0000  0.0000
Bi  0.0000  0.5000  0.0000
Bi  0.0000  0.0000  0.5000
H  0.0000  0.0000  0.0000
Hf  0.5000  0.5000  0.5000

## Properties
The total DFT energy (no corrections) is -59.80 eV/atom. Its size of the total moment is 0.0 μB/f.u. As for the space group: No. 221.

***

18.
Computed, not measured: a crystal of Hg3BiH relaxed with PBEsol at the SCAN level of DFT.

a = 4.6706 Å, b = 4.6706 Å, c = 4.6706 Å
α = 90.00°, β = 90.00°, γ = 90.00°
Positions (direct):
Hg  0.0000  0.5000  0.0000
Hg  0.5000  0.0000  0.0000
Hg  0.0000  0.0000  0.5000
H  0.0000  0.0000  0.0000
Bi  0.5000  0.5000  0.5000

## Properties
The total DFT energy (no corrections) is -56.86 eV/atom. Its size of the total moment is 0.0 μB/f.u. As for the space group: No. 221.

***

19.
Computed, not measured: a crystal of HgBi2H relaxed with PBEsol at the SCAN level of DFT.

a = 5.0133 Å, b = 5.0133 Å, c = 5.0133 Å
α = 60.00°, β = 60.00°, γ = 60.00°
Positions (direct):
Hg  0.5000  0.5000  0.5000
Bi  0.2500  0.2500  0.2500
Bi  0.7500  0.7500  0.7500
H  0.0000  0.0000  0.0000

## Properties
The total DFT energy (no corrections) is -56.61 eV/atom. Its size of the total moment is 0.0 μB/f.u. As for the space group: No. 225.

***

20.
Computed, not measured: a crystal of BiHI2 relaxed with PBEsol at the SCAN level of DFT.

a = 6.5378 Å, b = 6.5378 Å, c = 6.5378 Å
α = 106.78°, β = 110.83°, γ = 110.83°
Positions (direct):
Bi  0.5000  0.7500  0.2500
Bi  0.0000  0.0000  0.0000
I  0.5619  0.1869  0.1250
I  0.0619  0.8750  0.4369
I  0.9381  0.3750  0.8131
I  0.4381  0.5631  0.6250
H  0.0000  0.5000  0.5000
H  0.5000  0.2500  0.7500

## Properties
The total DFT energy (no corrections) is -38.33 eV/atom. Its size of the total moment is 0.0 μB/f.u. As for the space group: No. 122.